# 1
This record from the Alexandria database describes a geometry-optimized CsNb2TeO8 structure. The functional is PBE.

Structure (CIF):
```
data_CsNb2TeO8
_space_group_name_H-M_alt 'R -3 m'
_space_group_IT_number 166
_space_group_name_Hall '-R 3 2"'
_cell_length_a 5.9649
_cell_length_b 5.9649
_cell_length_c 27.6623
_cell_angle_alpha 90.00
_cell_angle_beta 90.00
_cell_angle_gamma 120.00
loop_
_atom_site_label
_atom_site_fract_x
_atom_site_fract_y
_atom_site_fract_z
Cs1 0.0000 0.0000 0.0000
Nb1 0.0000 0.0000 0.2312
Te1 0.0000 0.0000 0.5000
O1 0.0000 0.0000 0.2958
O2 0.0181 0.5090 0.1228
```

Results
**Energy relative to the elements, uncorrected**: -1894 meV per atom
**ρ**: 3357 kg/m³


# 2
This record from the Alexandria database describes a geometry-optimized Hf2AlTe structure. The functional is PBE.

Structure (CIF):
```
data_Hf2AlTe
_space_group_name_H-M_alt 'I -4 2 d'
_space_group_IT_number 122
_space_group_name_Hall 'I -4 2bw'
_cell_length_a 5.956
_cell_length_b 5.956
_cell_length_c 14.111
_cell_angle_alpha 90.00
_cell_angle_beta 90.00
_cell_angle_gamma 90.00
loop_
_atom_site_label
_atom_site_fract_x
_atom_site_fract_y
_atom_site_fract_z
Hf1 0.215 0.250 0.125
Al1 0.000 0.000 0.000
Te1 0.000 0.000 0.500
```

Results
**Energy relative to the elements, uncorrected**: 642 meV per atom
**Energy above the lowest structure with this stoichiometry**: 0.729 eV per atom
**ρ**: 6788 kg/m³


# 3
This record from the Alexandria database describes a geometry-optimized Ta2Te5Pd3 structure. The functional is PBE.

Structure (CIF):
```
data_Ta2Te5Pd3
_space_group_name_H-M_alt 'P n m a'
_space_group_IT_number 62
_cell_length_a 14.900
_cell_length_b 3.744
_cell_length_c 18.819
_cell_angle_alpha 90.00
_cell_angle_beta 90.00
_cell_angle_gamma 90.00
loop_
_space_group_symop_operation_xyz
'x,y,z'
'-x,-y,-z'
'-x+1/2,-y,z+1/2'
'x+1/2,y,-z+1/2'
'x+1/2,-y+1/2,-z+1/2'
'-x+1/2,y+1/2,z+1/2'
'-x,y+1/2,-z'
'x,-y+1/2,z'
loop_
_atom_site_label
_atom_site_fract_x
_atom_site_fract_y
_atom_site_fract_z
Ta1 0.248 0.250 0.168
Ta2 0.249 0.250 0.916
Te1 0.108 0.250 0.438
Te2 0.109 0.250 0.646
Te3 0.116 0.750 0.219
Te4 0.118 0.750 0.864
Te5 0.143 0.250 0.042
Pd1 0.186 0.250 0.310
Pd2 0.190 0.250 0.773
Pd3 0.228 0.250 0.542
```

Results
**Energy relative to the elements, uncorrected**: -420 meV per atom
**ρ**: 8346 kg/m³


# 4
This record from the Alexandria database describes a geometry-optimized KLi2Pt structure. The functional is PBE.

Structure (CIF):
```
data_KLi2Pt
_space_group_name_H-M_alt 'I -4 2 d'
_space_group_IT_number 122
_space_group_name_Hall 'I -4 2bw'
_cell_length_a 5.192
_cell_length_b 5.192
_cell_length_c 16.582
_cell_angle_alpha 90.00
_cell_angle_beta 90.00
_cell_angle_gamma 90.00
loop_
_atom_site_label
_atom_site_fract_x
_atom_site_fract_y
_atom_site_fract_z
K1 0.000 0.000 0.000
Li1 0.048 0.250 0.625
Pt1 0.000 0.000 0.500
```

Results
**Calculated formation energy**: 0.020 eV per atom
**ρ**: 3687 kg/m³


# 5
This record from the Alexandria database describes a geometry-optimized LiFe structure. The functional is PBE.

Structure (CIF):
```
data_LiFe
_space_group_name_H-M_alt 'I -4 3 m'
_space_group_IT_number 217
_space_group_name_Hall 'I -4 2 3'
_cell_length_a 8.013
_cell_length_b 8.013
_cell_length_c 8.013
_cell_angle_alpha 90.00
_cell_angle_beta 90.00
_cell_angle_gamma 90.00
loop_
_atom_site_label
_atom_site_fract_x
_atom_site_fract_y
_atom_site_fract_z
Li1 0.204 0.204 0.204
Fe1 0.101 0.101 0.899
```

Results
**Calculated formation energy**: 0.989 eV per atom
**ρ**: 1621 kg/m³


# 6
This record from the Alexandria database describes a geometry-optimized NaAc2Ru structure. The functional is PBE.

Structure (CIF):
```
data_NaAc2Ru
_space_group_name_H-M_alt 'R -3 m'
_space_group_IT_number 166
_space_group_name_Hall '-R 3 2"'
_cell_length_a 4.2460
_cell_length_b 4.2460
_cell_length_c 32.9798
_cell_angle_alpha 90.00
_cell_angle_beta 90.00
_cell_angle_gamma 120.00
loop_
_atom_site_label
_atom_site_fract_x
_atom_site_fract_y
_atom_site_fract_z
Na1 0.0000 0.0000 0.0000
Ac1 0.0000 0.0000 0.1185
Ru1 0.0000 0.0000 0.5000
```

Results
**Calculated formation energy**: -0.036 eV per atom
**ρ**: 5592 kg/m³


# 7
This record from the Alexandria database describes a geometry-optimized Zn12Cu6Ir structure. The functional is PBE.

Structure (CIF):
```
data_Zn12Cu6Ir
_space_group_name_H-M_alt 'R -3'
_space_group_IT_number 148
_space_group_name_Hall '-R 3'
_cell_length_a 9.1233
_cell_length_b 9.1233
_cell_length_c 11.1531
_cell_angle_alpha 90.00
_cell_angle_beta 90.00
_cell_angle_gamma 120.00
loop_
_atom_site_label
_atom_site_fract_x
_atom_site_fract_y
_atom_site_fract_z
Zn1 0.0282 0.8418 0.3157
Zn2 0.0611 0.2118 0.9118
Cu1 0.0163 0.5851 0.1998
Ir1 0.0000 0.0000 0.5000
```

Results
**Calculated formation energy**: -0.074 eV per atom
**ρ**: 8417 kg/m³


# 8
This record from the Alexandria database describes a geometry-optimized TaAsPb2 structure. The functional is PBE.

Structure (CIF):
```
data_TaAsPb2
_space_group_name_H-M_alt 'C 1 m 1'
_space_group_IT_number 8
_cell_length_a 11.449
_cell_length_b 3.336
_cell_length_c 5.299
_cell_angle_alpha 90.00
_cell_angle_beta 106.59
_cell_angle_gamma 90.00
loop_
_space_group_symop_operation_xyz
'x,y,z'
'x,-y,z'
'x+1/2,y+1/2,z'
'x+1/2,-y+1/2,z'
loop_
_atom_site_label
_atom_site_fract_x
_atom_site_fract_y
_atom_site_fract_z
Ta1 0.000 0.000 0.000
As1 0.341 0.000 0.728
Pb1 0.054 0.500 0.520
Pb2 0.252 0.500 0.142
```

Results
**Calculated formation energy**: 0.294 eV per atom
**ρ**: 11477 kg/m³


# 9
This record from the Alexandria database describes a geometry-optimized Tl3B structure. The functional is PBE.

Structure (CIF):
```
data_Tl3B
_space_group_name_H-M_alt 'P m -3 m'
_space_group_IT_number 221
_space_group_name_Hall '-P 4 2 3'
_cell_length_a 4.685
_cell_length_b 4.685
_cell_length_c 4.685
_cell_angle_alpha 90.00
_cell_angle_beta 90.00
_cell_angle_gamma 90.00
loop_
_atom_site_label
_atom_site_fract_x
_atom_site_fract_y
_atom_site_fract_z
Tl1 0.000 0.000 0.500
B1 0.500 0.500 0.500
```

Results
**Energy above the lowest structure with this stoichiometry**: 0.051 eV per atom
**Calculated formation energy**: 1.031 eV per atom
**ρ**: 10075 kg/m³


# 10
This record from the Alexandria database describes a geometry-optimized Ce4AgOs structure. The functional is PBE.

Structure (CIF):
```
data_Ce4AgOs
_space_group_name_H-M_alt 'C 1 2/c 1'
_space_group_IT_number 15
_cell_length_a 8.170
_cell_length_b 14.174
_cell_length_c 6.455
_cell_angle_alpha 90.00
_cell_angle_beta 118.60
_cell_angle_gamma 90.00
loop_
_space_group_symop_operation_xyz
'x,y,z'
'-x,-y,-z'
'-x,y,-z+1/2'
'x,-y,z+1/2'
'x+1/2,y+1/2,z'
'-x+1/2,-y+1/2,-z'
'-x+1/2,y+1/2,-z+1/2'
'x+1/2,-y+1/2,z+1/2'
loop_
_atom_site_label
_atom_site_fract_x
_atom_site_fract_y
_atom_site_fract_z
Ce1 0.186 0.230 0.166
Ce2 0.226 0.065 0.714
Ag1 0.000 0.402 0.750
Os1 0.000 0.086 0.250
```

Results
**Energy above the lowest structure with this stoichiometry**: 0.136 eV per atom
**Calculated formation energy**: 0.033 eV per atom
**ρ**: 8689 kg/m³


# 11
This record from the Alexandria database describes a geometry-optimized RbGaSn structure. The functional is PBE.

Structure (CIF):
```
data_RbGaSn
_space_group_name_H-M_alt 'C m c m'
_space_group_IT_number 63
_space_group_name_Hall '-C 2c 2'
_cell_length_a 4.641
_cell_length_b 18.647
_cell_length_c 4.880
_cell_angle_alpha 90.00
_cell_angle_beta 90.00
_cell_angle_gamma 90.00
loop_
_atom_site_label
_atom_site_fract_x
_atom_site_fract_y
_atom_site_fract_z
Rb1 0.000 0.091 0.250
Ga1 0.000 0.253 0.750
Sn1 0.000 0.338 0.250
```

Results
**Calculated formation energy**: -0.171 eV per atom
**ρ**: 4308 kg/m³


# 12
This record from the Alexandria database describes a geometry-optimized Na2Al3Ag3 structure. The functional is PBE.

Structure (CIF):
```
data_Na2Al3Ag3
_space_group_name_H-M_alt 'P -6 2 m'
_space_group_IT_number 189
_space_group_name_Hall 'P -6 -2'
_cell_length_a 8.1631
_cell_length_b 8.1631
_cell_length_c 2.8085
_cell_angle_alpha 90.00
_cell_angle_beta 90.00
_cell_angle_gamma 120.00
loop_
_atom_site_label
_atom_site_fract_x
_atom_site_fract_y
_atom_site_fract_z
Na1 0.3333 0.6667 0.0000
Al1 0.0000 0.7461 0.0000
Ag1 0.0000 0.3081 0.5000
```

Results
**Calculated formation energy**: 0.079 eV per atom
**ρ**: 4616 kg/m³


# 13
This record from the Alexandria database describes a geometry-optimized Ho5OsPt2 structure. The functional is PBE.

Structure (CIF):
```
data_Ho5OsPt2
_space_group_name_H-M_alt 'P b a m'
_space_group_IT_number 55
_cell_length_a 7.612
_cell_length_b 11.934
_cell_length_c 4.269
_cell_angle_alpha 90.00
_cell_angle_beta 90.00
_cell_angle_gamma 90.00
loop_
_space_group_symop_operation_xyz
'x,y,z'
'-x,-y,-z'
'-x,-y,z'
'x,y,-z'
'x+1/2,-y+1/2,-z'
'-x+1/2,y+1/2,z'
'-x+1/2,y+1/2,-z'
'x+1/2,-y+1/2,z'
loop_
_atom_site_label
_atom_site_fract_x
_atom_site_fract_y
_atom_site_fract_z
Ho1 0.000 0.000 0.000
Ho2 0.162 0.297 0.000
Ho3 0.176 0.590 0.500
Os1 0.000 0.500 0.000
Pt1 0.043 0.829 0.500
```

Results
**Calculated formation energy**: -0.776 eV per atom
**ρ**: 12031 kg/m³


# 14
This record from the Alexandria database describes a geometry-optimized YMnCo structure. The functional is PBE.

Structure (CIF):
```
data_YMnCo
_space_group_name_H-M_alt 'F -4 3 m'
_space_group_IT_number 216
_space_group_name_Hall 'F -4 2 3'
_cell_length_a 6.178
_cell_length_b 6.178
_cell_length_c 6.178
_cell_angle_alpha 90.00
_cell_angle_beta 90.00
_cell_angle_gamma 90.00
loop_
_atom_site_label
_atom_site_fract_x
_atom_site_fract_y
_atom_site_fract_z
Y1 0.000 0.000 0.000
Mn1 0.000 0.000 0.500
Co1 0.250 0.250 0.250
```

Results
**Energy above the lowest structure with this stoichiometry**: 0.323 eV per atom
**Calculated formation energy**: 0.254 eV per atom
**ρ**: 5711 kg/m³


# 15
This record from the Alexandria database describes a geometry-optimized CoSb2Mo structure. The functional is PBE.

Structure (CIF):
```
data_CoSb2Mo
_space_group_name_H-M_alt 'R -3 m'
_space_group_IT_number 166
_space_group_name_Hall '-R 3 2"'
_cell_length_a 3.2390
_cell_length_b 3.2390
_cell_length_c 24.0551
_cell_angle_alpha 90.00
_cell_angle_beta 90.00
_cell_angle_gamma 120.00
loop_
_atom_site_label
_atom_site_fract_x
_atom_site_fract_y
_atom_site_fract_z
Co1 0.0000 0.0000 0.0000
Sb1 0.0000 0.0000 0.2547
Mo1 0.0000 0.0000 0.5000
```

Results
**Energy relative to the elements, uncorrected**: 317 meV per atom
**ρ**: 9081 kg/m³


# 16
This record from the Alexandria database describes a geometry-optimized AgSe2Cl2 structure. The functional is PBE.

Structure (CIF):
```
data_AgSe2Cl2
_space_group_name_H-M_alt 'P 4/m b m'
_space_group_IT_number 127
_space_group_name_Hall '-P 4 2ab'
_cell_length_a 6.896
_cell_length_b 6.896
_cell_length_c 5.205
_cell_angle_alpha 90.00
_cell_angle_beta 90.00
_cell_angle_gamma 90.00
loop_
_atom_site_label
_atom_site_fract_x
_atom_site_fract_y
_atom_site_fract_z
Ag1 0.000 0.000 0.000
Se1 0.127 0.373 0.000
Cl1 0.158 0.342 0.500
```

Results
**Energy relative to the elements, uncorrected**: -22 meV per atom
**ρ**: 4517 kg/m³


# 17
This record from the Alexandria database describes a geometry-optimized PmBe2H8 structure. The functional is PBE.

Structure (CIF):
```
data_PmBe2H8
_space_group_name_H-M_alt 'C 1 2/m 1'
_space_group_IT_number 12
_cell_length_a 7.766
_cell_length_b 4.135
_cell_length_c 5.803
_cell_angle_alpha 90.00
_cell_angle_beta 112.15
_cell_angle_gamma 90.00
loop_
_space_group_symop_operation_xyz
'x,y,z'
'-x,-y,-z'
'-x,y,-z'
'x,-y,z'
'x+1/2,y+1/2,z'
'-x+1/2,-y+1/2,-z'
'-x+1/2,y+1/2,-z'
'x+1/2,-y+1/2,z'
loop_
_atom_site_label
_atom_site_fract_x
_atom_site_fract_y
_atom_site_fract_z
Pm1 0.000 0.000 0.000
Be1 0.242 0.000 0.672
H1 0.058 0.500 0.210
H2 0.143 0.000 0.412
H3 0.193 0.260 0.814
```

Results
**Total energy**: -3.59 eV per atom
**ρ**: 3292 kg/m³


# 18
This record from the Alexandria database describes a geometry-optimized OsSe2BrCl structure. The functional is PBE.

Structure (CIF):
```
data_OsSe2BrCl
_space_group_name_H-M_alt 'P 4/m m m'
_space_group_IT_number 123
_space_group_name_Hall '-P 4 2'
_cell_length_a 5.058
_cell_length_b 5.058
_cell_length_c 4.981
_cell_angle_alpha 90.00
_cell_angle_beta 90.00
_cell_angle_gamma 90.00
loop_
_atom_site_label
_atom_site_fract_x
_atom_site_fract_y
_atom_site_fract_z
Os1 0.000 0.000 0.000
Se1 0.000 0.500 0.500
Br1 0.500 0.500 0.000
Cl1 0.500 0.500 0.500
```

Results
**Energy relative to the elements, uncorrected**: 1841 meV per atom
**Energy above the lowest structure with this stoichiometry**: 1.369 eV per atom
**ρ**: 6041 kg/m³


# 19
This record from the Alexandria database describes a geometry-optimized AlCu8Pd6 structure. The functional is PBE.

Structure (CIF):
```
data_AlCu8Pd6
_space_group_name_H-M_alt 'R -3'
_space_group_IT_number 148
_space_group_name_Hall '-R 3'
_cell_length_a 6.9879
_cell_length_b 6.9879
_cell_length_c 15.5939
_cell_angle_alpha 90.00
_cell_angle_beta 90.00
_cell_angle_gamma 120.00
loop_
_atom_site_label
_atom_site_fract_x
_atom_site_fract_y
_atom_site_fract_z
Al1 0.0000 0.0000 0.0000
Cu1 0.0000 0.0000 0.2486
Cu2 0.0096 0.3191 0.8701
Pd1 0.0171 0.7295 0.6235
```

Results
**Calculated formation energy**: -0.055 eV per atom
**ρ**: 8868 kg/m³


# 20
This record from the Alexandria database describes a geometry-optimized CoSbS2N structure. The functional is PBE.

Structure (CIF):
```
data_CoSbS2N
_space_group_name_H-M_alt 'P 4/m m m'
_space_group_IT_number 123
_space_group_name_Hall '-P 4 2'
_cell_length_a 4.766
_cell_length_b 4.766
_cell_length_c 3.455
_cell_angle_alpha 90.00
_cell_angle_beta 90.00
_cell_angle_gamma 90.00
loop_
_atom_site_label
_atom_site_fract_x
_atom_site_fract_y
_atom_site_fract_z
Co1 0.000 0.000 0.000
Sb1 0.500 0.500 0.500
S1 0.000 0.500 0.000
N1 0.000 0.000 0.500
```

Results
**Energy relative to the elements, uncorrected**: 306 meV per atom
**Energy above the lowest structure with this stoichiometry**: 0.000 eV per atom
**ρ**: 5478 kg/m³


# 21
This record from the Alexandria database describes a geometry-optimized BeNi2Sb structure. The functional is PBE.

Structure (CIF):
```
data_BeNi2Sb
_space_group_name_H-M_alt 'P m m 2'
_space_group_IT_number 25
_cell_length_a 3.150
_cell_length_b 3.242
_cell_length_c 5.190
_cell_angle_alpha 90.00
_cell_angle_beta 90.00
_cell_angle_gamma 90.00
loop_
_space_group_symop_operation_xyz
'x,y,z'
'-x,-y,z'
'-x,y,z'
'x,-y,z'
loop_
_atom_site_label
_atom_site_fract_x
_atom_site_fract_y
_atom_site_fract_z
Be1 0.000 0.000 0.000
Ni1 0.000 0.000 0.419
Ni2 0.500 0.500 0.138
Sb1 0.500 0.500 0.654
```

Results
**Energy relative to the elements, uncorrected**: -15 meV per atom
**Energy above the lowest structure with this stoichiometry**: 0.078 eV per atom
**ρ**: 7774 kg/m³


# 22
This record from the Alexandria database describes a geometry-optimized Rb2CaZrI6 structure. The functional is PBE.

Structure (CIF):
```
data_Rb2CaZrI6
_space_group_name_H-M_alt 'F m -3 m'
_space_group_IT_number 225
_space_group_name_Hall '-F 4 2 3'
_cell_length_a 12.123
_cell_length_b 12.123
_cell_length_c 12.123
_cell_angle_alpha 90.00
_cell_angle_beta 90.00
_cell_angle_gamma 90.00
loop_
_atom_site_label
_atom_site_fract_x
_atom_site_fract_y
_atom_site_fract_z
Rb1 0.250 0.250 0.250
Ca1 0.000 0.000 0.000
Zr1 0.000 0.000 0.500
I1 0.000 0.000 0.255
```

Results
**Energy relative to the elements, uncorrected**: -1176 meV per atom
**ρ**: 3966 kg/m³